U2Hg2PdSe6 PBE-GGA relaxed; energy = -5.106 eV per atom; uncorrected formation energy = -0.626 eV/atom; Fermi-level density of states = 14.5 states/eV/f.u.; symmetry = C2/m, No. 12; total magnetization = 3.1 μB per formula unit
1.0
3.290 -5.905 0.000
3.290 5.905 0.000
-2.998 0.000 9.300
U Hg Pd Se
2 2 1 6
Direct
0.165 0.835 0.000 U
0.835 0.165 0.000 U
0.242 0.758 0.500 Hg
0.758 0.242 0.500 Hg
0.500 0.500 0.000 Pd
0.102 0.102 0.829 Se
0.253 0.583 0.175 Se
0.417 0.747 0.825 Se
0.583 0.253 0.175 Se
0.747 0.417 0.825 Se
0.898 0.898 0.171 Se